This record from Alexandria describes Ba3Pr3ScSe8 after structural relaxation. The functional is PBE.

Results
Calculated volume (Å³ per cell): 487.74
DOS at the Fermi energy (states/eV/f.u.): 4.1
Density (g cm⁻³): 5.15
Uncorrected formation energy (meV/atom): -1894

Geometry as CIF:
```
data_Ba3Pr3ScSe8
_symmetry_space_group_name_H-M 'P 1'
_symmetry_Int_Tables_number 1
_cell_length_a 8.6195
_cell_length_b 8.6198
_cell_length_c 9.0676
_cell_angle_alpha 118.38
_cell_angle_beta 90.00
_cell_angle_gamma 120.00
loop_
_symmetry_equiv_pos_as_xyz
'x,y,z'
loop_
_atom_site_label
_atom_site_fract_x
_atom_site_fract_y
_atom_site_fract_z
Ba1 0.0000 0.0000 0.0000
Ba2 0.5000 0.5000 0.0000
Ba3 0.0000 0.5000 0.0000
Se1 0.7739 0.0171 0.2910
Se2 0.2580 0.5160 0.2739
Se3 0.7739 0.5479 0.2911
Se4 0.2432 0.0171 0.2910
Se5 0.7420 0.4840 0.7261
Se6 0.2261 0.9829 0.7090
Se7 0.7568 0.9829 0.7090
Se8 0.2261 0.4521 0.7089
Pr1 0.5000 0.0000 0.5000
Pr2 0.0000 0.5000 0.5000
Pr3 0.5000 0.5000 0.5000
Sc1 0.0000 0.0000 0.5000
```